# 1
Compound: Rh2SeN2
Source: Alexandria via LeMat-Bulk
Functional: PBE-GGA
Structure: optimized geometry

Unit cell a=6.826 b=6.826 c=3.014 alpha=90.00 beta=90.00 gamma=90.00
Sites, in units of the cell vectors:
1 Rh 0.304 0.804 0.500
2 Rh 0.804 0.696 0.500
3 Rh 0.696 0.196 0.500
4 Rh 0.196 0.304 0.500
5 Se 0.000 0.000 0.000
6 Se 0.500 0.500 0.000
7 N 0.437 0.937 0.000
8 N 0.937 0.563 0.000
9 N 0.563 0.063 0.000
10 N 0.063 0.437 0.000

Properties
The symmetry is P4/mbm, No. 127. The energy comes out at -6.463 eV/atom. The polymorph energy (0 for the lowest one) comes out at 0 meV/atom. Its energy relative to the elements, uncorrected is 243.6 kJ/mol of formula units.

***

# 2
Compound: Ac2TaSbN5
Source: Alexandria via LeMat-Bulk
Functional: PBE-GGA
Structure: optimized geometry

Unit cell a=3.499 b=7.694 c=10.922 alpha=90.00 beta=90.00 gamma=103.14
Sites, in units of the cell vectors:
1 Ac 0.861 0.722 0.796
2 Ac 0.114 0.228 0.686
3 Ac 0.139 0.278 0.296
4 Ac 0.886 0.772 0.186
5 Ta 0.778 0.556 0.516
6 Ta 0.222 0.444 0.016
7 Sb 0.549 0.097 0.955
8 Sb 0.451 0.903 0.455
9 N 0.347 0.694 0.001
10 N 0.684 0.368 0.887
11 N 0.496 0.991 0.787
12 N 0.284 0.568 0.640
13 N 0.947 0.893 0.556
14 N 0.653 0.306 0.501
15 N 0.316 0.632 0.387
16 N 0.504 0.009 0.287
17 N 0.716 0.432 0.140
18 N 0.053 0.107 0.056

Properties
The symmetry is Cmc2_1, No. 36. The energy comes out at -7.990 eV/atom. Its energy relative to the elements, uncorrected is -587.9 kJ/mol of formula units.

***

What is the formula in the second record? Ac2TaSbN5